A plane-wave DFT calculation with PBE was carried out for a relaxed Mg9GaSn2 crystal.

- magnetic moment (μB per cell) = 0.0

Cell lengths 4.4427, 4.4427, 13.3561 Å; angles 90.00, 90.00, 90.00 degrees
Space group P4/mmm (No. 123)
Symmetry-distinct sites (fractional):
1 Mg 0.0000 0.0000 0.0000 x1
2 Mg 0.0000 0.0000 0.3304 x2
3 Mg 0.0000 0.5000 0.1590 x4
4 Mg 0.0000 0.5000 0.5000 x2
5 Ga 0.5000 0.5000 0.0000 x1
6 Sn 0.5000 0.5000 0.3294 x2

A plane-wave DFT calculation with PBE was carried out for a relaxed MgGaSn2 crystal.

- relative energy among the computed polymorphs (eV per formula unit) = 0.55
- magnetic moment (μB per cell) = 0.0

Cell lengths 3.2877, 3.2877, 32.9331 Å; angles 90.00, 90.00, 120.00 degrees
Space group R-3m (No. 166, hexagonal axes)
Symmetry-distinct sites (fractional):
1 Mg 0.0000 0.0000 0.0000 x3
2 Ga 0.0000 0.0000 0.5000 x3
3 Sn 0.0000 0.0000 0.0929 x6

A plane-wave DFT calculation with PBE was carried out for a relaxed Mg3GaSn4 crystal.

- magnetic moment (μB per cell) = 0.0

Cell lengths 4.4091, 4.5559, 9.5365 Å; angles 90.00, 90.00, 90.00 degrees
Space group Pmmm (No. 47)
Symmetry-distinct sites (fractional):
1 Mg 0.0000 0.0000 0.0000 x1
2 Mg 0.0000 0.5000 0.2584 x2
3 Ga 0.0000 0.0000 0.5000 x1
4 Sn 0.5000 0.0000 0.2515 x2
5 Sn 0.5000 0.5000 0.0000 x1
6 Sn 0.5000 0.5000 0.5000 x1

A plane-wave DFT calculation with PBE was carried out for a relaxed Mg3GaSn crystal.

- relative energy among the computed polymorphs (eV per formula unit) = 2.26
- magnetic moment (μB per cell) = 0.0

Cell lengths 5.3774, 5.3774, 5.3774 Å; angles 90.00, 90.00, 90.00 degrees
Space group Pm-3m (No. 221)
Symmetry-distinct sites (fractional):
1 Mg 0.0000 0.0000 0.5000 x3
2 Ga 0.5000 0.5000 0.5000 x1
3 Sn 0.0000 0.0000 0.0000 x1

A plane-wave DFT calculation with PBE was carried out for a relaxed Mg8GaSn2 crystal.

- magnetic moment (μB per cell) = 0.0

Cell lengths 15.9933, 4.8137, 7.0418 Å; angles 90.00, 112.12, 90.00 degrees
Space group C2/m (No. 12)
Symmetry-distinct sites (fractional):
1 Mg 0.0231 0.0000 0.2936 x4
2 Mg 0.0907 0.5000 0.9360 x4
3 Mg 0.1600 0.5000 0.4251 x4
4 Mg 0.1804 0.0000 0.7476 x4
5 Ga 0.0000 0.5000 0.5000 x2
6 Sn 0.1839 0.0000 0.1761 x4

A plane-wave DFT calculation with PBE was carried out for a relaxed Mg2GaSn2 crystal.

- relative energy among the computed polymorphs (eV per formula unit) = 0.24
- magnetic moment (μB per cell) = 0.0

Cell lengths 4.9620, 4.9620, 11.1670 Å; angles 90.00, 90.00, 120.00 degrees
Space group P6_3/mmc (No. 194)
Symmetry-distinct sites (fractional):
1 Mg 0.0000 0.0000 0.0000 x2
2 Mg 0.3333 0.6667 0.2500 x2
3 Ga 0.0000 0.0000 0.2500 x2
4 Sn 0.3333 0.6667 0.6015 x4

Number 1: calculated formation energy -10.4 kJ per mole of atoms, E_tot -26.7 eV/cell. Number 2: calculated formation energy 9.4 kJ per mole of atoms, E_tot -36.7 eV/cell. Number 3: calculated formation energy -7.9 kJ per mole of atoms, E_tot -24.5 eV/cell. Number 4: calculated formation energy 36.9 kJ per mole of atoms, E_tot -9.9 eV/cell. Number 5: calculated formation energy -8.5 kJ per mole of atoms, E_tot -49.5 eV/cell. Number 6: calculated formation energy -1.2 kJ per mole of atoms, E_tot -28.6 eV/cell.